The following is a DFT calculation (PBE) of a relaxed La2DyTm5 crystal.

The space group is I4/mmm (No. 139) and the conventional cell measures 5.075, 5.075 and 19.851 Å, with angles of 90.00, 90.00 and 90.00 degrees. The distinct sites, in fractional coordinates, are La at (0.000, 0.000, 0.250), Dy at (0.000, 0.000, 0.000), Tm at (0.000, 0.000, 0.500) and Tm at (0.000, 0.500, 0.121).

Its energy is -73.02 eV for the cell shown.

The following is a DFT calculation (PBE) of a relaxed BaZrAl2 crystal.

The space group is Amm2 (No. 38) and the conventional cell measures 4.485, 3.484 and 13.878 Å, with angles of 90.00, 90.00 and 90.00 degrees. The distinct sites, in fractional coordinates, are Ba at (0.000, 0.000, 0.000), Zr at (0.500, 0.000, 0.705), Al at (0.000, 0.000, 0.254) and Al at (0.500, 0.000, 0.368).

Its energy is -36.10 eV for the cell shown.

The following is a DFT calculation (PBE) of a relaxed Pm2USe3 crystal.

The space group is Cmmm (No. 65) and the conventional cell measures 5.826, 13.976 and 4.143 Å, with angles of 90.00, 90.00 and 90.00 degrees. The distinct sites, in fractional coordinates, are Pm at (0.000, 0.145, 0.000), U at (0.000, 0.500, 0.500), Se at (0.000, 0.000, 0.500) and Se at (0.000, 0.353, 0.000).

Its energy is -78.88 eV for the cell shown. The raw formation energy comes out at -1.366 eV/atom.

Q: Among the records above, which one has the highest energy?
A: BaZrAl2

Q: The lowest energy belongs to which entry?
A: Pm2USe3